Density functional theory data (PBE-GGA) for an optimized crystal structure of YZn2Se.

a b c (Å): 7.9516 7.9516 6.2741
angles (deg): 50.68 50.68 90.00
Atoms (fractional coordinates):
Y 0.0000 0.0000 0.0000
Y 0.7500 0.2500 0.5000
Zn 0.5951 0.1250 0.2500
Zn 0.1549 0.6250 0.2500
Zn 0.3750 0.4049 0.7500
Zn 0.8750 0.8451 0.7500
Se 0.5000 0.5000 0.0000
Se 0.2500 0.7500 0.5000

Its energy relative to the elements, uncorrected is -2.0 eV per formula unit. The theoretical density comes out at 5.64 Mg/m³. The value obtained for the total magnetization is 0.000 μB per cell.



Density functional theory data (PBE-GGA) for an optimized crystal structure of Ta4Nb3Ir.

a b c (Å): 4.6154 6.5784 9.2301
angles (deg): 90.00 90.00 90.00
Atoms (fractional coordinates):
Nb 0.0000 0.0000 0.0000
Nb 0.0000 0.0000 0.5000
Nb 0.4999 0.0000 0.7500
Nb 0.5001 0.0000 0.2500
Nb 0.4998 0.5000 0.7500
Nb 0.5002 0.5000 0.2500
Ir 0.0000 0.5000 0.0000
Ir 0.0000 0.5000 0.5000
Ta 0.5000 0.7470 0.0000
Ta 0.5000 0.7470 0.5000
Ta 0.5000 0.2530 0.0000
Ta 0.5000 0.2530 0.5000
Ta 0.9999 0.7470 0.7500
Ta 0.0001 0.7470 0.2500
Ta 0.0001 0.2530 0.2500
Ta 0.9999 0.2530 0.7500

The theoretical density comes out at 14.16 Mg/m³. The value obtained for the total magnetization is 0.000 μB per cell. Its formation energy is -0.248 eV per atom.



Density functional theory data (PBE-GGA) for an optimized crystal structure of Rb4BS4.

a b c (Å): 6.8033 9.0215 9.0215
angles (deg): 90.00 90.00 90.00
Atoms (fractional coordinates):
Rb 0.3459 0.2739 0.9998
Rb 0.8459 0.5002 0.7739
Rb 0.3459 0.7261 0.0002
Rb 0.1541 0.2261 0.5002
Rb 0.6541 0.9998 0.7261
Rb 0.1541 0.7739 0.4998
Rb 0.8459 0.4998 0.2261
Rb 0.6541 0.0002 0.2739
B 0.0000 0.0000 0.0000
B 0.5000 0.5000 0.5000
S 0.6510 0.6860 0.4998
S 0.6510 0.3140 0.5002
S 0.1510 0.9998 0.8140
S 0.8490 0.1860 0.9998
S 0.8490 0.8140 0.0002
S 0.3490 0.4998 0.3140
S 0.3490 0.5002 0.6860
S 0.1510 0.0002 0.1860

Its energy relative to the elements, uncorrected is -7.6 eV per formula unit. The theoretical density comes out at 2.88 Mg/m³. The value obtained for the total magnetization is 2.159 μB per cell. As for the energy above the most stable polymorph in this dataset: 0 meV/atom.



Density functional theory data (PBE-GGA) for an optimized crystal structure of Li2Ca3Pb5.

a b c (Å): 4.5169 11.0570 11.0570
angles (deg): 90.00 90.00 90.00
Atoms (fractional coordinates):
Li 0.0000 0.1209 0.6209
Li 0.0000 0.8791 0.3791
Li 0.0000 0.3791 0.1209
Li 0.0000 0.6209 0.8791
Ca 0.0000 0.3260 0.8260
Ca 0.0000 0.6740 0.1740
Ca 0.0000 0.1740 0.3260
Ca 0.0000 0.8260 0.6740
Ca 0.0000 0.0000 0.0000
Ca 0.0000 0.5000 0.5000
Pb 0.5000 0.2103 0.0744
Pb 0.5000 0.7897 0.9256
Pb 0.5000 0.9256 0.2103
Pb 0.5000 0.0744 0.7897
Pb 0.5000 0.2897 0.5744
Pb 0.5000 0.7103 0.4256
Pb 0.5000 0.5744 0.7103
Pb 0.5000 0.4256 0.2897
Pb 0.5000 0.0000 0.5000
Pb 0.5000 0.5000 0.0000

The theoretical density comes out at 7.04 Mg/m³. The value obtained for the total magnetization is 0.000 μB per cell. Its formation energy is -0.410 eV per atom.



Density functional theory data (PBE-GGA) for an optimized crystal structure of K3HfV.

a b c (Å): 6.3970 6.3970 6.3970
angles (deg): 90.00 90.00 90.00
Atoms (fractional coordinates):
K 0.0000 0.5000 0.0000
K 0.0000 0.0000 0.5000
K 0.5000 0.0000 0.0000
Hf 0.5000 0.5000 0.5000
V 0.0000 0.0000 0.0000

The theoretical density comes out at 2.20 Mg/m³. The value obtained for the total magnetization is 8.002 μB per cell. Its formation energy is 1.805 eV per atom. As for the energy above the most stable polymorph in this dataset: 0 meV/atom.



Density functional theory data (PBE-GGA) for an optimized crystal structure of RbB3P.

a b c (Å): 5.7081 5.7538 6.2209
angles (deg): 79.34 81.67 87.65
Atoms (fractional coordinates):
P 0.0001 0.3256 0.5308
P 0.4638 0.2311 0.7980
B 0.2322 0.3486 0.2726
B 0.1335 0.3036 0.7893
B 0.1607 0.3454 0.0286
B 0.4715 0.3007 0.0867
B 0.5328 0.3395 0.3118
B 0.6707 0.3342 0.5252
Rb 0.3393 0.8048 0.5444
Rb 0.8461 0.8257 0.0695

The theoretical density comes out at 2.49 Mg/m³. The value obtained for the total magnetization is 0.000 μB per cell. Its formation energy is 0.114 eV per atom. As for the energy above the most stable polymorph in this dataset: 104 meV/atom.



Density functional theory data (PBE-GGA) for an optimized crystal structure of TmZrTa.

a b c (Å): 3.6726 3.6726 5.8534
angles (deg): 108.28 108.28 90.00
Atoms (fractional coordinates):
Tm 0.0043 0.0043 0.0086
Zr 0.3036 0.3036 0.6073
Ta 0.6921 0.6921 0.3841

The theoretical density comes out at 10.35 Mg/m³. The value obtained for the total magnetization is 0.000 μB per cell. Its formation energy is 0.223 eV per atom. As for the energy above the most stable polymorph in this dataset: 0 meV/atom.



Density functional theory data (PBE-GGA) for an optimized crystal structure of Rb3Nd3USe8.

a b c (Å): 8.6391 8.6382 9.5601
angles (deg): 116.88 90.00 120.00
Atoms (fractional coordinates):
Rb 0.0000 0.0000 0.0000
Rb 0.0000 0.5000 0.0000
Rb 0.5000 0.5000 0.0000
Nd 0.5000 0.0000 0.5000
Nd 0.5000 0.5000 0.5000
Nd 0.0000 0.5000 0.5000
U 0.0000 0.0000 0.5000
Se 0.2664 0.5328 0.2994
Se 0.7336 0.4672 0.7006
Se 0.7756 0.5512 0.3079
Se 0.2244 0.4488 0.6921
Se 0.7756 0.0321 0.3079
Se 0.2244 0.9679 0.6921
Se 0.2565 0.0321 0.3079
Se 0.7435 0.9679 0.6921

Its energy relative to the elements, uncorrected is -24.3 eV per formula unit. The theoretical density comes out at 4.91 Mg/m³. The value obtained for the total magnetization is 2.000 μB per cell.



Density functional theory data (PBE-GGA) for an optimized crystal structure of Ba3GeBr.

a b c (Å): 6.4659 6.4659 6.4659
angles (deg): 90.00 90.00 90.00
Atoms (fractional coordinates):
Ge 0.0000 0.0000 0.0000
Ba 0.0000 0.5000 0.0000
Ba 0.0000 0.0000 0.5000
Ba 0.5000 0.0000 0.0000
Br 0.5000 0.5000 0.5000

Its energy relative to the elements, uncorrected is -3.0 eV per formula unit. The theoretical density comes out at 3.47 Mg/m³. The value obtained for the total magnetization is 0.000 μB per cell. As for the energy above the most stable polymorph in this dataset: 326 meV/atom.